TaVHRu2 | the Alexandria database | PBE-GGA | optimized geometry; magnetization = 0.00 μB per formula unit; E_tot = -8.66 eV per atom; space-group type = No. 123; distance to the lowest polymorph of the same formula = 76 meV/atom
1.0
3.967 0.000 0.000
0.000 3.967 0.000
0.000 0.000 3.932
Ta V H Ru
1 1 1 2
direct
0.000 0.000 0.000
0.500 0.500 0.000
0.000 0.000 0.500
0.000 0.500 0.500
0.500 0.000 0.500